La3TlPt | the Alexandria database | GGA-PBE | optimized geometry; symmetry = No. 2; crystal system = triclinic; energy of formation = -0.6320 eV per atom; energy above the lowest structure with this stoichiometry = 0.20 eV/f.u.; spin magnetization = 0.0 μB per cell
1.0
5.865 -0.007 0.005
-2.936 6.378 -0.440
0.007 -3.176 8.929
La Tl Pt
6 2 2
direct
0.376 0.752 0.097
0.155 0.311 0.632
0.888 0.777 0.762
0.112 0.223 0.238
0.624 0.248 0.903
0.845 0.689 0.368
0.604 0.209 0.447
0.396 0.791 0.553
0.869 0.738 0.067
0.131 0.262 0.933